# Al4Ru3Rh | Alexandria | PBE | optimized geometry
data_Al4Ru3Rh
_chemical_formula_sum 'Al4 Ru3 Rh1'
_cell_length_a 2.9983
_cell_length_b 2.9983
_cell_length_c 12.0713
_cell_angle_alpha 90.00
_cell_angle_beta 90.00
_cell_angle_gamma 90.00
_space_group_name_H-M_alt 'P 4/m m m'
_space_group_IT_number 123
_space_group_name_Hall '-P 4 2'
loop_
_atom_site_label
_atom_site_fract_x
_atom_site_fract_y
_atom_site_fract_z
Al1 0.0000 0.0000 0.1254
Al2 0.0000 0.0000 0.3722
Ru1 0.5000 0.5000 0.0000
Ru2 0.5000 0.5000 0.2494
Rh1 0.5000 0.5000 0.5000
# Density ... 7866 kg/m³
# Calculated formation energy ... -779 meV per atom
# Calculated volume ... 108.52 Å³ per cell

---

# Al2RuRh | Alexandria | PBE | optimized geometry
data_Al2RuRh
_chemical_formula_sum 'Al2 Ru1 Rh1'
_cell_length_a 2.7888
_cell_length_b 2.7888
_cell_length_c 7.5848
_cell_angle_alpha 90.00
_cell_angle_beta 90.00
_cell_angle_gamma 90.00
_space_group_name_H-M_alt 'P 4 m m'
_space_group_IT_number 99
_space_group_name_Hall 'P 4 -2'
loop_
_atom_site_label
_atom_site_fract_x
_atom_site_fract_y
_atom_site_fract_z
Al1 0.0000 0.0000 0.0000
Al2 0.5000 0.5000 0.3017
Ru1 0.5000 0.5000 0.7736
Rh1 0.0000 0.0000 0.5251
# Density ... 7261 kg/m³
# Calculated formation energy ... -296 meV per atom
# Calculated volume ... 58.99 Å³ per cell

---

# Al2RuRh | Alexandria | PBE | optimized geometry
data_Al2RuRh
_chemical_formula_sum 'Al4 Ru2 Rh2'
_cell_length_a 3.6148
_cell_length_b 3.6148
_cell_length_c 8.6146
_cell_angle_alpha 90.00
_cell_angle_beta 90.00
_cell_angle_gamma 90.00
_space_group_name_H-M_alt 'I -4 m 2'
_space_group_IT_number 119
_space_group_name_Hall 'I -4 -2'
loop_
_atom_site_label
_atom_site_fract_x
_atom_site_fract_y
_atom_site_fract_z
Al1 0.0000 0.0000 0.0000
Al2 0.0000 0.5000 0.2500
Ru1 0.0000 0.0000 0.5000
Rh1 0.0000 0.5000 0.7500
# Density ... 7610 kg/m³
# Calculated formation energy ... -537 meV per atom
# Calculated volume ... 112.57 Å³ per cell

---

# Al5RuRh4 | Alexandria | PBE | optimized geometry
data_Al5RuRh4
_chemical_formula_sum 'Al5 Ru1 Rh4'
_cell_length_a 3.0046
_cell_length_b 3.0046
_cell_length_c 14.9887
_cell_angle_alpha 90.00
_cell_angle_beta 90.00
_cell_angle_gamma 90.00
_space_group_name_H-M_alt 'P 4/m m m'
_space_group_IT_number 123
_space_group_name_Hall '-P 4 2'
loop_
_atom_site_label
_atom_site_fract_x
_atom_site_fract_y
_atom_site_fract_z
Al1 0.0000 0.0000 0.0000
Al2 0.0000 0.0000 0.2022
Al3 0.0000 0.0000 0.4050
Ru1 0.5000 0.5000 0.5000
Rh1 0.5000 0.5000 0.0998
Rh2 0.5000 0.5000 0.2990
# Density ... 7947 kg/m³
# Calculated formation energy ... -1035 meV per atom
# Calculated volume ... 135.31 Å³ per cell

---

# Al2RuRh | Alexandria | PBE | optimized geometry
data_Al2RuRh
_chemical_formula_sum 'Al8 Ru4 Rh4'
_cell_length_a 6.5269
_cell_length_b 6.5269
_cell_length_c 5.7910
_cell_angle_alpha 90.00
_cell_angle_beta 90.00
_cell_angle_gamma 90.00
_space_group_name_H-M_alt 'I -4 2 d'
_space_group_IT_number 122
_space_group_name_Hall 'I -4 2bw'
loop_
_atom_site_label
_atom_site_fract_x
_atom_site_fract_y
_atom_site_fract_z
Al1 0.2454 0.2500 0.1250
Ru1 0.0000 0.0000 0.5000
Rh1 0.0000 0.0000 0.0000
# Density ... 6945 kg/m³
# Calculated formation energy ... -149 meV per atom
# Calculated volume ... 246.70 Å³ per cell

---

# Al2RuRh | Alexandria | PBE | optimized geometry
data_Al2RuRh
_chemical_formula_sum 'Al6 Ru3 Rh3'
_cell_length_a 2.8250
_cell_length_b 2.8250
_cell_length_c 25.3853
_cell_angle_alpha 90.00
_cell_angle_beta 90.00
_cell_angle_gamma 120.00
_space_group_name_H-M_alt 'R 3 m'
_space_group_IT_number 160
_space_group_name_Hall 'R 3 -2"'
loop_
_atom_site_label
_atom_site_fract_x
_atom_site_fract_y
_atom_site_fract_z
Al1 0.0000 0.0000 0.0000
Al2 0.0000 0.0000 0.2422
Ru1 0.0000 0.0000 0.4970
Rh1 0.0000 0.0000 0.7435
# Density ... 7324 kg/m³
# Calculated formation energy ... -263 meV per atom
# Calculated volume ... 175.45 Å³ per cell

---

# Al8RuRh2 | Alexandria | PBE | optimized geometry
data_Al8RuRh2
_chemical_formula_sum 'Al16 Ru2 Rh4'
_cell_length_a 4.0652
_cell_length_b 7.4025
_cell_length_c 11.0011
_cell_angle_alpha 90.00
_cell_angle_beta 90.00
_cell_angle_gamma 90.00
_space_group_name_H-M_alt 'I m m m'
_space_group_IT_number 71
_space_group_name_Hall '-I 2 2'
loop_
_atom_site_label
_atom_site_fract_x
_atom_site_fract_y
_atom_site_fract_z
Al1 0.0000 0.0000 0.1416
Al2 0.0000 0.2208 0.3407
Al3 0.0000 0.3136 0.0000
Ru1 0.0000 0.5000 0.5000
Rh1 0.0000 0.5000 0.1981
# Density ... 5244 kg/m³
# Calculated formation energy ... -615 meV per atom
# Calculated volume ... 331.05 Å³ per cell

---

# AlRuRh4 | Alexandria | PBE | optimized geometry
data_AlRuRh4
_chemical_formula_sum 'Al4 Ru4 Rh16'
_cell_length_a 7.1795
_cell_length_b 7.1795
_cell_length_c 7.1795
_cell_angle_alpha 90.00
_cell_angle_beta 90.00
_cell_angle_gamma 90.00
_space_group_name_H-M_alt 'F -4 3 m'
_space_group_IT_number 216
_space_group_name_Hall 'F -4 2 3'
loop_
_atom_site_label
_atom_site_fract_x
_atom_site_fract_y
_atom_site_fract_z
Al1 0.0000 0.0000 0.0000
Ru1 0.2500 0.2500 0.7500
Rh1 0.1251 0.1251 0.3749
# Density ... 9686 kg/m³
# Calculated formation energy ... 230 meV per atom
# Calculated volume ... 370.07 Å³ per cell

---

# Al2RuRh | Alexandria | PBE | optimized geometry
data_Al2RuRh
_chemical_formula_sum 'Al2 Ru1 Rh1'
_cell_length_a 3.1695
_cell_length_b 3.1695
_cell_length_c 5.6656
_cell_angle_alpha 90.00
_cell_angle_beta 90.00
_cell_angle_gamma 90.00
_space_group_name_H-M_alt 'P 4 m m'
_space_group_IT_number 99
_space_group_name_Hall 'P 4 -2'
loop_
_atom_site_label
_atom_site_fract_x
_atom_site_fract_y
_atom_site_fract_z
Al1 0.0000 0.0000 0.0000
Al2 0.5000 0.5000 0.2781
Ru1 0.5000 0.5000 0.8047
Rh1 0.0000 0.0000 0.4818
# Density ... 7526 kg/m³
# Calculated formation energy ... -514 meV per atom
# Calculated volume ... 56.91 Å³ per cell

---

# Al2RuRh | Alexandria | PBE | optimized geometry
data_Al2RuRh
_chemical_formula_sum 'Al6 Ru3 Rh3'
_cell_length_a 2.8748
_cell_length_b 2.8748
_cell_length_c 23.8395
_cell_angle_alpha 90.00
_cell_angle_beta 90.00
_cell_angle_gamma 120.00
_space_group_name_H-M_alt 'R -3 m'
_space_group_IT_number 166
_space_group_name_Hall '-R 3 2"'
loop_
_atom_site_label
_atom_site_fract_x
_atom_site_fract_y
_atom_site_fract_z
Al1 0.0000 0.0000 0.2498
Ru1 0.0000 0.0000 0.0000
Rh1 0.0000 0.0000 0.5000
# Density ... 7531 kg/m³
# Calculated formation energy ... -558 meV per atom
# Calculated volume ... 170.63 Å³ per cell

---

# Al2RuRh | Alexandria | PBE | optimized geometry
data_Al2RuRh
_chemical_formula_sum 'Al4 Ru2 Rh2'
_cell_length_a 2.9898
_cell_length_b 4.1192
_cell_length_c 9.0836
_cell_angle_alpha 90.00
_cell_angle_beta 90.00
_cell_angle_gamma 90.00
_space_group_name_H-M_alt 'I m m 2'
_space_group_IT_number 44
_space_group_name_Hall 'I 2 -2'
loop_
_atom_site_label
_atom_site_fract_x
_atom_site_fract_y
_atom_site_fract_z
Al1 0.0000 0.0000 0.0000
Al2 0.0000 0.5000 0.2341
Ru1 0.0000 0.0000 0.4934
Rh1 0.0000 0.5000 0.7374
# Density ... 7658 kg/m³
# Calculated formation energy ... -628 meV per atom
# Calculated volume ... 111.87 Å³ per cell

---

# Al4RuRh3 | Alexandria | PBE | optimized geometry
data_Al4RuRh3
_chemical_formula_sum 'Al4 Ru1 Rh3'
_cell_length_a 3.0062
_cell_length_b 4.2359
_cell_length_c 8.4807
_cell_angle_alpha 90.00
_cell_angle_beta 90.00
_cell_angle_gamma 90.00
_space_group_name_H-M_alt 'P m m m'
_space_group_IT_number 47
_space_group_name_Hall '-P 2 2'
loop_
_atom_site_label
_atom_site_fract_x
_atom_site_fract_y
_atom_site_fract_z
Al1 0.0000 0.0000 0.0000
Al2 0.0000 0.0000 0.5000
Al3 0.0000 0.5000 0.2449
Ru1 0.5000 0.5000 0.0000
Rh1 0.5000 0.0000 0.2540
Rh2 0.5000 0.5000 0.5000
# Density ... 7961 kg/m³
# Calculated formation energy ... -1029 meV per atom
# Calculated volume ... 107.99 Å³ per cell

---

Number 1: calculated total energy -7.048 eV per atom. Number 2: calculated total energy -6.324 eV per atom. Number 3: calculated total energy -6.565 eV per atom. Number 4: calculated total energy -6.775 eV per atom. Number 5: calculated total energy -6.177 eV per atom. Number 6: calculated total energy -6.292 eV per atom. Number 7: calculated total energy -5.517 eV per atom. Number 8: calculated total energy -6.840 eV per atom. Number 9: calculated total energy -6.542 eV per atom. Number 10: calculated total energy -6.586 eV per atom. Number 11: calculated total energy -6.656 eV per atom. Number 12: calculated total energy -6.817 eV per atom.